No. 1
YHg2O: optimized geometry, PBE.

Cell lengths 10.137, 10.137, 7.474 Å; angles 47.30, 47.30, 90.00 degrees
Atoms (fractional coordinates):
1 Hg 0.375 0.481 0.750
2 Hg 0.231 0.625 0.250
3 Hg 0.875 0.769 0.750
4 Hg 0.519 0.125 0.250
5 O 0.500 0.500 0.000
6 O 0.250 0.750 0.500
7 Y 0.750 0.250 0.500
8 Y 0.000 0.000 0.000

## Properties
The density is 7.73 g/cm3. The calculation puts the formation energy from raw total energies at -0.946 eV/atom. Its total moment is 0.0 μB per formula unit. The calculation puts the volume at 27.18 Å³ per atom.

No. 2
Sr2Mg2Cd5: optimized geometry, PBE.

Cell lengths 5.138, 5.138, 9.552 Å; angles 90.00, 90.00, 90.00 degrees
Atoms (fractional coordinates):
1 Cd 0.500 0.000 0.720
2 Cd 0.500 0.500 0.500
3 Cd 0.000 0.500 0.280
4 Cd 0.500 0.000 0.280
5 Cd 0.000 0.500 0.720
6 Sr 0.000 0.000 0.500
7 Sr 0.000 0.000 0.000
8 Mg 0.500 0.500 0.152
9 Mg 0.500 0.500 0.848

## Properties
The density is 5.17 g/cm3. Its total moment is 0.0 μB per formula unit. As for the formation energy: -0.1611 eV per atom. The calculation puts the volume at 28.02 Å³ per atom.

Question: Which of these has the highest volume?
Answer: Sr2Mg2Cd5

Question: Which of these has the highest volume?
Answer: Sr2Mg2Cd5

Question: Which value of total moment does entry 1 give?
Answer: 0.0 μB per formula unit